Entry 1:
This record from Alexandria describes a relaxed Ho6CoBi2 crystal. The functional is GGA-PBEsol.

Lattice parameters (Å, degrees): 4.001 8.220 8.220 120.00 90.00 90.00
Atoms (fractional coordinates):
Ho (0.000, 0.000, 0.231)
Ho (0.500, 0.607, 0.000)
Ho (0.500, 0.393, 0.393)
Ho (0.500, 0.000, 0.607)
Ho (0.000, 0.769, 0.769)
Ho (0.000, 0.231, 0.000)
Co (0.500, 0.000, 0.000)
Bi (0.000, 0.667, 0.333)
Bi (0.000, 0.333, 0.667)

DFT formation energy = -11.268 kcal/mol of atoms

***

Entry 2:
This record from Alexandria describes a relaxed PtRhBr crystal. The functional is GGA-PBEsol.

Lattice parameters (Å, degrees): 2.995 2.995 5.849 104.84 104.84 90.00
Atoms (fractional coordinates):
Rh (0.333, 0.333, 0.667)
Br (0.986, 0.986, 0.973)
Pt (0.680, 0.680, 0.360)

formation energy without anion corrections = 0.580 eV per atom
E above lowest polymorph = 171 meV per atom

***

Entry 3:
This record from Alexandria describes a relaxed Ca2AsH4F13 crystal. The functional is GGA-PBEsol.

Lattice parameters (Å, degrees): 7.164 7.164 17.461 90.00 90.00 90.00
Atoms (fractional coordinates):
F (0.293, 0.436, 0.351)
F (0.171, 0.958, 0.488)
F (0.437, 0.825, 0.929)
F (0.300, 0.056, 0.679)
F (0.782, 0.951, 0.848)
F (0.611, 0.830, 0.734)
F (0.300, 0.944, 0.821)
F (0.175, 0.437, 0.679)
F (0.782, 0.049, 0.652)
F (0.042, 0.171, 0.238)
F (0.944, 0.300, 0.429)
F (0.829, 0.042, 0.988)
F (0.611, 0.170, 0.766)
F (0.056, 0.700, 0.929)
F (0.056, 0.300, 0.571)
F (0.563, 0.825, 0.071)
F (0.218, 0.049, 0.348)
F (0.564, 0.293, 0.101)
F (0.829, 0.958, 0.512)
F (0.495, 0.500, 0.750)
F (0.563, 0.175, 0.429)
F (0.170, 0.389, 0.016)
F (0.218, 0.951, 0.152)
F (0.958, 0.829, 0.738)
F (0.825, 0.437, 0.321)
F (0.700, 0.944, 0.179)
F (0.505, 0.500, 0.250)
F (0.944, 0.700, 0.071)
F (0.564, 0.707, 0.399)
F (0.049, 0.782, 0.598)
F (0.389, 0.170, 0.234)
F (0.170, 0.611, 0.484)
F (0.707, 0.436, 0.649)
F (0.830, 0.389, 0.984)
F (0.500, 0.505, 0.000)
F (0.825, 0.563, 0.179)
F (0.700, 0.056, 0.321)
F (0.951, 0.218, 0.098)
F (0.389, 0.830, 0.266)
F (0.293, 0.564, 0.149)
F (0.171, 0.042, 0.012)
F (0.707, 0.564, 0.851)
F (0.436, 0.707, 0.601)
F (0.830, 0.611, 0.516)
F (0.042, 0.829, 0.262)
F (0.951, 0.782, 0.402)
F (0.175, 0.563, 0.821)
F (0.436, 0.293, 0.899)
F (0.958, 0.171, 0.762)
F (0.049, 0.218, 0.902)
F (0.437, 0.175, 0.571)
F (0.500, 0.495, 0.500)
Ca (0.259, 0.725, 0.037)
Ca (0.725, 0.741, 0.287)
Ca (0.259, 0.275, 0.463)
Ca (0.275, 0.741, 0.713)
Ca (0.741, 0.275, 0.537)
Ca (0.725, 0.259, 0.213)
Ca (0.275, 0.259, 0.787)
Ca (0.741, 0.725, 0.963)
H (0.537, 0.385, 0.059)
H (0.385, 0.537, 0.191)
H (0.889, 0.368, 0.374)
H (0.615, 0.463, 0.691)
H (0.368, 0.111, 0.624)
H (0.111, 0.368, 0.626)
H (0.111, 0.632, 0.874)
H (0.368, 0.889, 0.876)
H (0.385, 0.463, 0.309)
H (0.537, 0.615, 0.441)
H (0.615, 0.537, 0.809)
H (0.632, 0.111, 0.376)
H (0.463, 0.615, 0.559)
H (0.463, 0.385, 0.941)
H (0.632, 0.889, 0.124)
H (0.889, 0.632, 0.126)
As (0.217, 0.000, 0.250)
As (0.000, 0.217, 0.000)
As (0.000, 0.783, 0.500)
As (0.783, 0.000, 0.750)

***

Entry 4:
This record from Alexandria describes a relaxed SrCa2Cu crystal. The functional is GGA-PBEsol.

Lattice parameters (Å, degrees): 3.732 5.803 6.965 114.62 105.54 90.00
Atoms (fractional coordinates):
Cu (0.500, 0.000, 0.000)
Ca (0.813, 0.813, 0.626)
Ca (0.187, 0.187, 0.374)
Sr (0.000, 0.500, 0.000)

E above lowest polymorph = 22 meV per atom
DFT formation energy = 1.114 kcal/mol of atoms

***

Entry 5:
This record from Alexandria describes a relaxed Ti3HgO crystal. The functional is GGA-PBEsol.

Lattice parameters (Å, degrees): 4.126 4.126 4.126 90.00 90.00 90.00
Atoms (fractional coordinates):
O (0.000, 0.000, 0.000)
Ti (0.500, 0.000, 0.000)
Ti (0.000, 0.500, 0.000)
Ti (0.000, 0.000, 0.500)
Hg (0.500, 0.500, 0.500)

formation energy without anion corrections = -1.220 eV per atom

***

Entry 6:
This record from Alexandria describes a relaxed LaZn2Re crystal. The functional is GGA-PBEsol.

Lattice parameters (Å, degrees): 2.963 5.030 5.030 108.79 90.00 90.00
Atoms (fractional coordinates):
La (0.500, 0.000, 0.000)
Re (0.500, 0.500, 0.500)
Zn (0.000, 0.000, 0.500)
Zn (0.000, 0.500, 0.000)

E above lowest polymorph = 254 meV per atom
DFT formation energy = 9.915 kcal/mol of atoms

***

Entry 7:
This record from Alexandria describes a relaxed TbAl2Si2 crystal. The functional is GGA-PBEsol.

Lattice parameters (Å, degrees): 4.175 4.175 6.509 90.00 90.00 120.00
Atoms (fractional coordinates):
Si (0.333, 0.667, 0.258)
Si (0.667, 0.333, 0.742)
Tb (0.000, 0.000, 0.000)
Al (0.333, 0.667, 0.645)
Al (0.667, 0.333, 0.355)

formation energy without anion corrections = -0.396 eV per atom

***

Entry 8:
This record from Alexandria describes a relaxed MnAlGe3 crystal. The functional is GGA-PBEsol.

Lattice parameters (Å, degrees): 4.783 4.783 4.783 90.00 90.00 90.00
Site moments in Bohr magnetons follow the coordinates.
Atoms (fractional coordinates):
Ge (0.000, 0.500, 0.000)  -0.04
Ge (0.000, 0.000, 0.500)  -0.04
Ge (0.500, 0.000, 0.000)  -0.04
Mn (0.500, 0.500, 0.500)  4.27
Al (0.000, 0.000, 0.000)  0.01

DFT formation energy = 20.991 kcal/mol of atoms

***

Entry 9:
This record from Alexandria describes a relaxed ReTc crystal. The functional is GGA-PBEsol.

Lattice parameters (Å, degrees): 2.726 2.726 3.858 90.00 90.00 90.00
Atoms (fractional coordinates):
Tc (0.500, 0.500, 0.500)
Re (0.000, 0.000, 0.000)

E above lowest polymorph = 70 meV per atom
DFT formation energy = 1.454 kcal/mol of atoms

***

Entry 10:
This record from Alexandria describes a relaxed Fe3Pt crystal. The functional is GGA-PBEsol.

Lattice parameters (Å, degrees): 4.132 4.132 4.132 60.00 60.00 60.00
Site moments in Bohr magnetons follow the coordinates.
Atoms (fractional coordinates):
Fe (0.500, 0.500, 0.500)  2.59
Fe (0.750, 0.750, 0.750)  2.83
Fe (0.250, 0.250, 0.250)  2.83
Pt (0.000, 0.000, 0.000)  0.49

DFT formation energy = -0.261 kcal/mol of atoms

***

Entry 11:
This record from Alexandria describes a relaxed CaMn2ReP crystal. The functional is GGA-PBEsol.

Lattice parameters (Å, degrees): 4.507 4.795 4.795 90.00 90.00 90.00
Site moments in Bohr magnetons follow the coordinates.
Atoms (fractional coordinates):
Re (0.000, 0.000, 0.000)  -0.21
Mn (0.000, 0.500, 0.000)  3.60
Mn (0.000, 0.000, 0.500)  3.60
Ca (0.500, 0.500, 0.500)  -0.02
P (0.500, 0.000, 0.000)  0.07

DFT formation energy = 12.295 kcal/mol of atoms

***

Entry 12:
This record from Alexandria describes a relaxed Nd3Sb5O12 crystal. The functional is GGA-PBEsol.

Lattice parameters (Å, degrees): 9.482 9.482 9.482 109.47 109.47 109.47
Atoms (fractional coordinates):
O (0.712, 0.511, 0.000)
O (0.511, 0.000, 0.712)
O (0.489, 0.489, 0.201)
O (0.527, 0.726, 0.527)
O (0.000, 0.511, 0.712)
O (0.000, 0.473, 0.198)
O (0.000, 0.712, 0.511)
O (0.000, 0.198, 0.473)
O (0.799, 0.288, 0.288)
O (0.511, 0.712, 0.000)
O (0.198, 0.473, 0.000)
O (0.274, 0.802, 0.802)
O (0.288, 0.799, 0.288)
O (0.201, 0.489, 0.489)
O (0.288, 0.288, 0.799)
O (0.473, 0.000, 0.198)
O (0.473, 0.198, 0.000)
O (0.489, 0.201, 0.489)
O (0.712, 0.000, 0.511)
O (0.198, 0.000, 0.473)
O (0.802, 0.802, 0.274)
O (0.527, 0.527, 0.726)
O (0.726, 0.527, 0.527)
O (0.802, 0.274, 0.802)
Nd (0.250, 0.500, 0.750)
Nd (0.750, 0.250, 0.500)
Nd (0.500, 0.250, 0.750)
Nd (0.750, 0.500, 0.250)
Nd (0.500, 0.750, 0.250)
Nd (0.250, 0.750, 0.500)
Sb (0.277, 0.000, 0.277)
Sb (0.277, 0.277, 0.000)
Sb (0.000, 0.723, 0.723)
Sb (0.000, 0.000, 0.511)
Sb (0.511, 0.000, 0.000)
Sb (0.723, 0.000, 0.723)
Sb (0.489, 0.489, 0.489)
Sb (0.000, 0.511, 0.000)
Sb (0.723, 0.723, 0.000)
Sb (0.000, 0.277, 0.277)

formation energy without anion corrections = -2.201 eV per atom

***

| no. | size of the total moment (μB/f.u.) | E_tot (eV per atom) | density of states at the Fermi level (states/eV per atom) |
| --- | --- | --- | --- |
| 1 | 0.00 | -5.601 | 1.090 |
| 2 | 0.00 | -5.078 | 1.542 |
| 3 | 0.19 | -4.895 | 0.000 |
| 4 | 0.00 | -2.562 | 0.901 |
| 5 | 0.06 | -7.377 | 1.234 |
| 6 | 0.00 | -5.031 | 0.649 |
| 7 | 0.00 | -5.334 | 0.339 |
| 8 | 4.43 | -4.824 | 0.587 |
| 9 | 0.00 | -12.236 | 0.982 |
| 10 | 8.76 | -8.475 | 0.701 |
| 11 | 7.51 | -7.623 | 0.851 |
| 12 | 0.00 | -7.265 | 0.000 |